P | Compound: Pu2US6
Source: the Alexandria database
Functional: PBE
Structure: optimized geometry

Structure (POSCAR):
```
Pu2US6
1.0
3.958 0.000 0.000
0.000 7.243 0.000
0.000 -3.622 6.273
S Pu U
6 2 1
direct
0.000 0.253 0.253 S
0.500 0.403 0.000 S
0.000 0.000 0.747 S
0.000 0.747 0.000 S
0.500 0.000 0.403 S
0.500 0.597 0.597 S
0.000 0.333 0.667 Pu
0.000 0.667 0.333 Pu
0.500 0.000 0.000 U
```

Properties
- ρ (Mg/m³) = 8.48

Q | Compound: Pu2US6
Source: the Alexandria database
Functional: PBE
Structure: optimized geometry

Structure (POSCAR):
```
Pu2US6
1.0
4.345 0.000 -1.405
-0.952 5.647 -2.945
0.134 0.438 7.837
S Pu U
6 2 1
direct
0.500 0.242 0.000 S
0.837 0.084 0.673 S
0.500 0.758 0.000 S
0.837 0.589 0.673 S
0.163 0.916 0.327 S
0.163 0.411 0.327 S
0.333 0.333 0.666 Pu
0.667 0.667 0.334 Pu
0.000 0.000 0.000 U
```

Properties
- ρ (Mg/m³) = 7.64

Result of the stability comparison: P is the least stable of them.

P | Compound: YPuS2
Source: the Alexandria database
Functional: PBE
Structure: optimized geometry

Structure (POSCAR):
```
YPuS2
1.0
3.924 0.000 0.000
1.962 3.398 0.000
1.962 1.133 6.472
S Y Pu
2 1 1
direct
0.751 0.751 0.747 S
0.249 0.249 0.253 S
0.500 0.500 0.500 Y
0.000 0.000 0.000 Pu
```

Properties
- ρ (Mg/m³) = 7.64

Q | Compound: YPuS2
Source: the Alexandria database
Functional: PBE
Structure: optimized geometry

Structure (POSCAR):
```
YPuS2
1.0
-3.431 -1.146 -1.414
2.320 -2.558 1.776
-5.781 2.878 11.699
Y S Pu
2 4 2
direct
0.000 0.000 0.000 Y
0.000 0.000 0.500 Y
0.667 0.333 0.620 S
0.667 0.333 0.880 S
0.333 0.667 0.380 S
0.333 0.667 0.120 S
0.333 0.667 0.750 Pu
0.667 0.333 0.250 Pu
```

Properties
- ρ (Mg/m³) = 7.55

R | Compound: YPuS2
Source: the Alexandria database
Functional: PBE
Structure: optimized geometry

Structure (POSCAR):
```
YPuS2
1.0
-1.435 0.505 -3.519
-3.795 0.164 -0.517
-1.572 7.066 -0.433
S Y Pu
2 1 1
direct
0.250 0.250 0.250 S
0.083 0.083 0.752 S
0.496 0.496 0.513 Y
0.672 0.672 0.985 Pu
```

Properties
- ρ (Mg/m³) = 7.50

Result of the stability comparison: R is the least stable of them.